Here is a relaxed LiAc2HoTe5 crystal from the Alexandria database. Energies are from PBE.

The value obtained for the uncorrected formation energy is -139.5 kJ/mol of atoms. The calculated volume comes out at 33.042 Å³ per atom. The space group is No. 36. The calculation puts the final energy at -86.87 eV for the cell shown.

Cell lengths 4.576, 9.912, 13.477 Å; angles 90.00, 90.00, 103.35 degrees
Positions (direct):
1 Te 0.951 0.902 0.564
2 Te 0.501 0.002 0.282
3 Te 0.358 0.715 0.000
4 Te 0.715 0.431 0.163
5 Ac 0.874 0.748 0.804
6 Te 0.285 0.569 0.663
7 Te 0.499 0.998 0.782
8 Li 0.560 0.120 0.962
9 Ho 0.803 0.605 0.510
10 Ac 0.893 0.786 0.186
11 Ho 0.197 0.395 0.010
12 Te 0.309 0.618 0.353
13 Ac 0.107 0.214 0.686
14 Ac 0.126 0.252 0.304
15 Te 0.049 0.098 0.064
16 Te 0.642 0.285 0.500
17 Li 0.440 0.880 0.462
18 Te 0.691 0.382 0.853